This record from Alexandria describes a relaxed AlSiH2 crystal. The functional is PBE.

Calculated values
Final energy: -3.2976 eV/atom
ΔE to the lowest computed polymorph: 0.1128 eV/atom
Total moment: 0.0 μB/f.u.

Structure (POSCAR):
```
AlSiH2
1.0
-0.9521 -3.6287 0.3549
-1.2163 -1.3132 3.3161
-3.6168 -0.9654 0.4322
Al Si H
1 1 2
Direct
0.0000 0.0000 0.0000 Al
0.5000 0.5000 0.5000 Si
0.7500 0.7500 0.7500 H
0.2500 0.2500 0.2500 H
```